Here is a relaxed Pr2HfMo2N6 crystal from Alexandria via LeMat-Bulk. Energies are from PBE.

Values from the calculation:
Its crystal system is trigonal. The calculation puts the electronic total energy at -99.60 eV per formula unit. The uncorrected formation energy is -0.770 eV/atom. The calculation puts the density of states at the Fermi level at 5.3 states/eV/cell.

Unit cell a=5.7853 b=5.7853 c=17.4027 alpha=90.00 beta=90.00 gamma=120.00
Last column: nearest neighbours and their distance in Å.
Space group R-3m (No. 166, hexagonal axes)
Unique sites:
Pr (0.0000, 0.0000, 0.2046) [6 per cell]  3 N 2.53
Hf (0.0000, 0.0000, 0.0000) [3 per cell]  6 N 2.23
Mo (0.0000, 0.0000, 0.3947) [6 per cell]  3 N 1.84
N (0.0186, 0.5093, 0.7576) [18 per cell]  1 Mo 1.84